1.
Crystalline LuPaGaIr at its relaxed geometry. Source: the Alexandria database, functional GGA-PBE.

Cell and atoms, written as POSCAR:
```
LuPaGaIr
1.0
4.9254 0.0000 0.0000
2.4627 4.2655 0.0000
2.4627 1.4218 4.0216
Pa Lu Ga Ir
1 1 1 1
Direct
0.5000 0.5000 0.5000
0.0000 0.0000 0.0000
0.2500 0.2500 0.2500
0.7500 0.7500 0.7500
```

Output
Space group: F-43m, No. 216
Energy of formation (kJ/mol of formula units): -195

2.
Crystalline Cr2NiAu at its relaxed geometry. Source: the Alexandria database, functional GGA-PBE.

Cell and atoms, written as POSCAR:
```
Cr2NiAu
1.0
4.7204 -0.0170 -0.0179
-2.7063 5.0129 0.0351
0.0147 1.3354 2.2277
Au Cr Ni
1 2 1
Direct
0.5000 0.0000 0.5000
0.0000 0.0000 0.0000
0.0000 0.5000 0.5000
0.5000 0.5000 0.0000
```

Output
Space group: Cmmm, No. 65
Energy of formation (kJ/mol of formula units): 137

3.
Crystalline TiCuGe at its relaxed geometry. Source: the Alexandria database, functional GGA-PBE.

Cell and atoms, written as POSCAR:
```
TiCuGe
1.0
3.8367 0.0000 0.0000
0.0000 6.2894 0.0000
0.0000 0.0000 7.3148
Ge Cu Ti
4 4 4
Direct
0.7500 0.7386 0.8829
0.2500 0.7614 0.3829
0.2500 0.2614 0.1171
0.7500 0.2386 0.6171
0.2500 0.1536 0.4333
0.2500 0.6536 0.0667
0.7500 0.3464 0.9333
0.7500 0.8464 0.5667
0.7500 0.4781 0.3141
0.2500 0.5219 0.6859
0.7500 0.9781 0.1859
0.2500 0.0219 0.8141
```

Output
Space group: Pnma, No. 62
Energy of formation (kJ/mol of formula units): -124

4.
Crystalline CdAg3Se at its relaxed geometry. Source: the Alexandria database, functional GGA-PBE.

Cell and atoms, written as POSCAR:
```
CdAg3Se
1.0
5.1272 0.0000 0.0000
0.0000 5.1272 0.0000
0.0000 0.0000 5.1272
Se Ag Cd
1 3 1
Direct
0.0000 0.0000 0.0000
0.0000 0.5000 0.0000
0.0000 0.0000 0.5000
0.5000 0.0000 0.0000
0.5000 0.5000 0.5000
```

Output
ΔE_f (raw) (eV per atom): 0.297
Space group: Pm-3m, No. 221

5.
Crystalline LiY2NbHg at its relaxed geometry. Source: the Alexandria database, functional GGA-PBE.

Cell and atoms, written as POSCAR:
```
LiY2NbHg
1.0
5.6620 0.0000 0.0000
0.0000 5.6620 0.0000
0.0000 0.0000 5.3135
Y Nb Hg Li
2 1 1 1
Direct
0.0000 0.5000 0.0000
0.5000 0.0000 0.0000
0.0000 0.0000 0.5000
0.0000 0.0000 0.0000
0.5000 0.5000 0.5000
```

Output
Space group: P4/mmm, No. 123
Energy of formation (kJ/mol of formula units): 389

6.
Crystalline Y2CdPd at its relaxed geometry. Source: the Alexandria database, functional GGA-PBE.

Cell and atoms, written as POSCAR:
```
Y2CdPd
1.0
-6.6103 -4.7882 -0.8254
7.9930 1.6589 -0.8150
6.4255 2.9627 4.1520
Y Cd Pd
2 1 1
Direct
0.0000 0.1733 0.1733
0.0000 0.8267 0.8267
0.0000 0.5000 0.5000
0.0000 0.0000 0.0000
```

Output
Space group: I4/mmm, No. 139
Energy of formation (kJ/mol of formula units): -64

7.
Crystalline Cs3SmAg2I8 at its relaxed geometry. Source: the Alexandria database, functional GGA-PBE.

Cell and atoms, written as POSCAR:
```
Cs3SmAg2I8
1.0
8.6249 0.0000 0.0000
-4.3124 7.4694 0.0000
0.0000 0.0000 11.0697
Cs Sm Ag I
3 1 2 8
Direct
0.3333 0.6667 0.6219
0.6667 0.3333 0.3781
0.0000 0.0000 0.0000
0.0000 0.0000 0.5000
0.3333 0.6667 0.1960
0.6667 0.3333 0.8040
0.3333 0.6667 0.9534
0.6667 0.3333 0.0466
0.1644 0.8356 0.3320
0.8356 0.1644 0.6680
0.1644 0.3288 0.3320
0.8356 0.6712 0.6680
0.6712 0.8356 0.3320
0.3288 0.1644 0.6680
```

Output
ΔE_f (raw) (eV per atom): -1.102
Space group: P-3m1, No. 164

8.
Crystalline NaSnHgTe3 at its relaxed geometry. Source: the Alexandria database, functional GGA-PBE.

Cell and atoms, written as POSCAR:
```
NaSnHgTe3
1.0
-2.5224 -2.6559 -2.2038
6.5213 -2.9714 -3.8832
-0.6223 -6.8996 9.0271
Na Sn Hg Te
2 2 2 6
Direct
0.2500 0.2770 0.3191
0.7500 0.7230 0.6809
0.2500 0.6871 0.1159
0.7500 0.3129 0.8841
0.2500 0.0784 0.6213
0.7500 0.9216 0.3787
0.7500 0.9642 0.1386
0.2500 0.0358 0.8614
0.2500 0.7282 0.4570
0.7500 0.2718 0.5430
0.7500 0.4214 0.1467
0.2500 0.5786 0.8533
```

Output
ΔE_f (raw) (eV per atom): -0.320
Space group: P2_1/m, No. 11

9.
Crystalline BeZnCu4 at its relaxed geometry. Source: the Alexandria database, functional GGA-PBE.

Cell and atoms, written as POSCAR:
```
BeZnCu4
1.0
0.0000 3.3755 3.3755
3.3755 0.0000 3.3755
3.3755 3.3755 0.0000
Be Zn Cu
1 1 4
Direct
0.0000 0.0000 0.0000
0.7500 0.7500 0.7500
0.8758 0.3747 0.3747
0.3747 0.3747 0.8758
0.3747 0.8758 0.3747
0.3747 0.3747 0.3747
```

Output
Space group: F-43m, No. 216
Energy of formation (kJ/mol of formula units): 124

10.
Crystalline La5TbY2Tm at its relaxed geometry. Source: the Alexandria database, functional GGA-PBE.

Cell and atoms, written as POSCAR:
```
La5TbY2Tm
1.0
9.5852 0.0000 0.0000
0.0000 9.5852 0.0000
-4.7926 -4.7926 7.0128
La Tb Y Tm
10 2 4 2
Direct
0.9374 0.4374 0.2777
0.6597 0.1597 0.7223
0.0626 0.5626 0.7223
0.1597 0.0626 0.7223
0.5626 0.6597 0.7223
0.8403 0.9374 0.2777
0.4374 0.3403 0.2777
0.3403 0.8403 0.2777
0.5000 0.5000 0.0000
0.0000 0.0000 0.0000
0.2500 0.2500 0.5000
0.7500 0.7500 0.5000
0.1083 0.3917 0.0000
0.6083 0.1083 0.0000
0.3917 0.8917 0.0000
0.8917 0.6083 0.0000
0.2500 0.7500 0.5000
0.7500 0.2500 0.5000
```

Output
Space group: I4/mcm, No. 140
Energy of formation (kJ/mol of formula units): 272